Entry 1:
A plane-wave DFT calculation with PBE was carried out for Dy4Cd2C after structural relaxation.

POSCAR file:
```
Dy4Cd2C
1.0
-1.589 0.444 4.649
-3.997 -2.669 -1.111
6.467 -5.162 0.086
C Cd Dy
1 2 4
direct
0.000 0.000 0.000
0.632 0.632 0.264
0.368 0.368 0.736
0.837 0.837 0.673
0.163 0.163 0.327
0.000 0.500 0.000
0.500 0.000 0.000
```

Properties
The calculation puts the formation energy at -202 meV per atom. The magnetic moment comes out at 0.00 μB/f.u. Its total energy is -4.41 eV per atom. The value obtained for the density is 8.1 g/cm³. The value obtained for the calculated volume is 26.09 A^3/atom.

Entry 2:
A plane-wave DFT calculation with PBE was carried out for DyCdC after structural relaxation.

POSCAR file:
```
DyCdC
1.0
4.413 1.882 -2.732
3.744 5.584 -3.259
-6.781 -5.996 11.699
Cd Dy C
2 2 2
direct
0.023 0.325 0.800
0.023 0.325 0.300
0.507 0.860 0.568
0.539 0.790 0.032
0.792 0.528 0.656
0.253 0.123 0.944
```

Properties
The calculation puts the formation energy at 273 meV per atom. The magnetic moment comes out at 0.00 μB/f.u. Its total energy is -4.64 eV per atom. The value obtained for the density is 8.0 g/cm³. The value obtained for the calculated volume is 19.85 A^3/atom.

Entry 3:
A plane-wave DFT calculation with PBE was carried out for Dy12Cd3C5 after structural relaxation.

POSCAR file:
```
Dy12Cd3C5
1.0
13.748 0.000 0.000
-4.583 12.962 0.000
-4.583 -6.481 11.225
C Cd Dy
20 12 48
direct
0.125 0.375 0.250
0.000 0.500 0.000
0.000 0.000 0.000
0.375 0.250 0.125
0.500 0.000 0.500
0.500 0.500 0.000
0.125 0.750 0.375
0.750 0.125 0.875
0.750 0.625 0.375
0.375 0.125 0.750
0.625 0.875 0.250
0.500 0.500 0.500
0.500 0.000 0.000
0.000 0.000 0.500
0.250 0.375 0.625
0.250 0.875 0.125
0.000 0.500 0.500
0.875 0.250 0.625
0.625 0.750 0.875
0.875 0.625 0.750
0.750 0.375 0.125
0.875 0.750 0.125
0.375 0.750 0.625
0.250 0.125 0.375
0.875 0.125 0.250
0.375 0.625 0.250
0.625 0.375 0.750
0.125 0.875 0.750
0.750 0.875 0.625
0.625 0.250 0.375
0.125 0.250 0.875
0.250 0.625 0.875
0.700 0.112 0.016
0.316 0.516 0.404
0.984 0.388 0.300
0.516 0.200 0.112
0.588 0.700 0.684
0.984 0.596 0.184
0.316 0.800 0.412
0.096 0.912 0.112
0.596 0.984 0.684
0.700 0.588 0.184
0.800 0.484 0.388
0.816 0.904 0.016
0.112 0.700 0.516
0.388 0.404 0.088
0.088 0.904 0.388
0.412 0.112 0.596
0.088 0.184 0.200
0.484 0.684 0.096
0.816 0.912 0.300
0.112 0.412 0.096
0.388 0.984 0.800
0.596 0.612 0.412
0.904 0.816 0.516
0.800 0.316 0.912
0.404 0.388 0.588
0.096 0.184 0.484
0.200 0.684 0.088
0.184 0.088 0.700
0.612 0.016 0.200
0.888 0.588 0.904
0.516 0.316 0.904
0.588 0.888 0.404
0.912 0.816 0.800
0.912 0.096 0.612
0.888 0.300 0.484
0.184 0.096 0.984
0.612 0.596 0.912
0.404 0.016 0.316
0.300 0.412 0.816
0.200 0.516 0.612
0.904 0.088 0.888
0.684 0.200 0.588
0.484 0.800 0.888
0.016 0.404 0.816
0.412 0.300 0.316
0.016 0.612 0.700
0.684 0.484 0.596
0.300 0.888 0.984
```

Properties
The calculation puts the formation energy at -80 meV per atom. The magnetic moment comes out at 0.00 μB/f.u. Its total energy is -5.28 eV per atom. The value obtained for the density is 7.8 g/cm³. The value obtained for the calculated volume is 25.00 A^3/atom.

Entry 4:
A plane-wave DFT calculation with PBE was carried out for Dy4CdC2 after structural relaxation.

POSCAR file:
```
Dy4CdC2
1.0
3.574 0.000 0.000
1.787 3.095 0.000
1.787 1.032 14.495
Dy Cd C
4 1 2
direct
0.125 0.125 0.625
0.271 0.271 0.188
0.729 0.729 0.812
0.875 0.875 0.375
0.000 0.000 0.000
0.428 0.428 0.716
0.572 0.572 0.284
```

Properties
The calculation puts the formation energy at -282 meV per atom. The magnetic moment comes out at 0.40 μB/f.u. Its total energy is -5.68 eV per atom. The value obtained for the density is 8.1 g/cm³. The value obtained for the calculated volume is 22.91 A^3/atom.